# 1
Ti2NbV: relaxed, PBE.

For the formation energy, the calculation gives 0.111 eV/atom. Its energy above the most stable polymorph in this dataset is 2.4 kJ/mol of atoms. For the total moment, the calculation gives 1.71 Bohr magnetons per cell.

The structure belongs to space group P4/mmm (No. 123); the cell edges are 4.526, 4.526 and 3.236 Å and the angles 90.00°, 90.00° and 90.00°. The inequivalent atoms are Ti at (0.000, 0.500, 0.000), Nb at (0.000, 0.000, 0.500) and V at (0.500, 0.500, 0.500).

# 2
ZnTe2Pt: relaxed, PBE.

The uncorrected formation energy comes out at 0.171 eV per atom. For the total moment, the calculation gives 0.00 Bohr magnetons per cell.

The structure belongs to space group Pmmm (No. 47); the cell edges are 3.899, 3.966 and 5.926 Å and the angles 90.00°, 90.00° and 90.00°. The inequivalent atoms are Zn at (0.000, 0.000, 0.000), Te at (0.000, 0.500, 0.500), Te at (0.500, 0.500, 0.000) and Pt at (0.500, 0.000, 0.500).

# 3
AgSe4Cl: relaxed, PBE.

The uncorrected formation energy comes out at 0.430 eV per atom. Its energy above the most stable polymorph in this dataset is 46.2 kJ/mol of atoms. For the total moment, the calculation gives 0.01 Bohr magnetons per cell.

The structure belongs to space group F-43m (No. 216); the cell edges are 8.084, 8.084 and 8.084 Å and the angles 90.00°, 90.00° and 90.00°. The inequivalent atoms are Ag at (0.000, 0.000, 0.000), Se at (0.123, 0.123, 0.377) and Cl at (0.250, 0.250, 0.750).

# 4
MgCu3I: relaxed, PBE.

The uncorrected formation energy comes out at 0.902 eV per atom. Its energy above the most stable polymorph in this dataset is 0.0 kJ/mol of atoms. For the total moment, the calculation gives 0.00 Bohr magnetons per cell.

The structure belongs to space group Pm-3m (No. 221); the cell edges are 4.815, 4.815 and 4.815 Å and the angles 90.00°, 90.00° and 90.00°. The inequivalent atoms are Mg at (0.000, 0.000, 0.000), Cu at (0.000, 0.000, 0.500) and I at (0.500, 0.500, 0.500).

# 5
Nb2InReO: relaxed, PBE.

The uncorrected formation energy comes out at -0.207 eV per atom. For the total moment, the calculation gives 0.43 Bohr magnetons per cell.

The structure belongs to space group P4/mmm (No. 123); the cell edges are 4.147, 4.147 and 4.723 Å and the angles 90.00°, 90.00° and 90.00°. The inequivalent atoms are Nb at (0.000, 0.500, 0.000), In at (0.000, 0.000, 0.500), Re at (0.500, 0.500, 0.500) and O at (0.000, 0.000, 0.000).

# 6
HfSc3Pd6: relaxed, PBE.

For the formation energy, the calculation gives -0.825 eV/atom. For the total moment, the calculation gives 0.00 Bohr magnetons per cell.

The structure belongs to space group P-1 (No. 2); the cell edges are 4.589, 8.075 and 9.753 Å and the angles 75.73°, 89.98° and 90.00°. The inequivalent atoms are Hf at (0.250, 0.065, 0.119), Sc at (0.250, 0.653, 0.306), Sc at (0.251, 0.464, 0.891), Sc at (0.252, 0.231, 0.477), Pd at (0.248, 0.927, 0.405), Pd at (0.249, 0.375, 0.186), Pd at (0.250, 0.146, 0.813), Pd at (0.250, 0.538, 0.594), Pd at (0.250, 0.767, 0.014) and Pd at (0.251, 0.845, 0.707).

# 7
ZrScTeN2: relaxed, PBE.

The uncorrected formation energy comes out at 0.335 eV per atom. Its energy above the most stable polymorph in this dataset is 40.1 kJ/mol of atoms. For the total moment, the calculation gives 0.55 Bohr magnetons per cell.

The structure belongs to space group P4/mmm (No. 123); the cell edges are 4.153, 4.153 and 5.518 Å and the angles 90.00°, 90.00° and 90.00°. The inequivalent atoms are Zr at (0.000, 0.000, 0.000), Sc at (0.500, 0.500, 0.500), Te at (0.500, 0.500, 0.000) and N at (0.000, 0.500, 0.500).

# 8
SrBiAu2: relaxed, PBE.

For the formation energy, the calculation gives -0.338 eV/atom. For the total moment, the calculation gives 0.00 Bohr magnetons per cell.

The structure belongs to space group I-42d (No. 122); the cell edges are 5.131, 5.131 and 19.540 Å and the angles 90.00°, 90.00° and 90.00°. The inequivalent atoms are Sr at (0.000, 0.000, 0.000), Bi at (0.000, 0.000, 0.500) and Au at (0.136, 0.250, 0.625).

# 9
LaZrTa2: relaxed, PBE.

For the formation energy, the calculation gives 0.418 eV/atom. Its energy above the most stable polymorph in this dataset is 20.5 kJ/mol of atoms. For the total moment, the calculation gives 0.00 Bohr magnetons per cell.

The structure belongs to space group R3m (No. 160, hexagonal axes); the cell edges are 3.1336, 3.1336 and 31.8972 Å and the angles 90.00°, 90.00° and 120.00°. The inequivalent atoms are La at (0.0000, 0.0000, 0.0000), Zr at (0.0000, 0.0000, 0.7630), Ta at (0.0000, 0.0000, 0.2461) and Ta at (0.0000, 0.0000, 0.5066).

# 10
ReAuCl2: relaxed, PBE.

The uncorrected formation energy comes out at 0.621 eV per atom. Its energy above the most stable polymorph in this dataset is 48.4 kJ/mol of atoms. For the total moment, the calculation gives 0.00 Bohr magnetons per cell.

The structure belongs to space group P2/m (No. 10); the cell edges are 2.870, 4.138 and 6.169 Å and the angles 90.00°, 101.85° and 90.00°. The inequivalent atoms are Re at (0.000, 0.000, 0.000), Au at (0.500, 0.000, 0.500) and Cl at (0.049, 0.500, 0.224).

# 11
VMoSe2N: relaxed, PBE.

The uncorrected formation energy comes out at 0.376 eV per atom. Its energy above the most stable polymorph in this dataset is 0.0 kJ/mol of atoms. For the total moment, the calculation gives 3.84 Bohr magnetons per cell.

The structure belongs to space group P4/mmm (No. 123); the cell edges are 4.964, 4.964 and 3.605 Å and the angles 90.00°, 90.00° and 90.00°. The inequivalent atoms are V at (0.000, 0.000, 0.000), Mo at (0.500, 0.500, 0.500), Se at (0.000, 0.500, 0.000) and N at (0.000, 0.000, 0.500).

# 12
SnBi5I2: relaxed, PBE.

The uncorrected formation energy comes out at 0.168 eV per atom. For the total moment, the calculation gives 0.00 Bohr magnetons per cell.

The structure belongs to space group Cm (No. 8); the cell edges are 13.241, 7.764 and 7.763 Å and the angles 90.00°, 125.70° and 90.00°. The inequivalent atoms are Sn at (0.000, 0.000, 0.000), Bi at (0.002, 0.301, 0.701), Bi at (0.004, 0.301, 0.304), Bi at (0.291, 0.000, 0.289), I at (0.251, 0.000, 0.750) and I at (0.251, 0.500, 0.249).

# 13
ZnRh2Au: relaxed, PBE.

For the formation energy, the calculation gives -0.075 eV/atom. For the total moment, the calculation gives 0.00 Bohr magnetons per cell.

The structure belongs to space group Cm (No. 8); the cell edges are 9.075, 2.841 and 4.783 Å and the angles 90.00°, 101.31° and 90.00°. The inequivalent atoms are Zn at (0.000, 0.000, 0.000), Rh at (0.244, 0.500, 0.271), Rh at (0.490, 0.000, 0.476) and Au at (0.248, 0.000, 0.769).

# 14
Rb3MgCl: relaxed, PBE.

The uncorrected formation energy comes out at -0.586 eV per atom. Its energy above the most stable polymorph in this dataset is 0.0 kJ/mol of atoms. For the total moment, the calculation gives 0.00 Bohr magnetons per cell.

The structure belongs to space group Pm-3m (No. 221); the cell edges are 6.483, 6.483 and 6.483 Å and the angles 90.00°, 90.00° and 90.00°. The inequivalent atoms are Rb at (0.000, 0.000, 0.500), Mg at (0.500, 0.500, 0.500) and Cl at (0.000, 0.000, 0.000).

# 15
K2BeSi: relaxed, PBE.

The uncorrected formation energy comes out at 0.976 eV per atom. Its energy above the most stable polymorph in this dataset is 78.3 kJ/mol of atoms. For the total moment, the calculation gives 2.15 Bohr magnetons per cell.

The structure belongs to space group Fm-3m (No. 225); the cell edges are 7.879, 7.879 and 7.879 Å and the angles 90.00°, 90.00° and 90.00°. The inequivalent atoms are K at (0.250, 0.250, 0.250), Be at (0.000, 0.000, 0.000) and Si at (0.000, 0.000, 0.500).

# 16
SnAsIrSe2: relaxed, PBE.

The uncorrected formation energy comes out at 0.293 eV per atom. Its energy above the most stable polymorph in this dataset is 0.0 kJ/mol of atoms. For the total moment, the calculation gives 0.00 Bohr magnetons per cell.

The structure belongs to space group P4/mmm (No. 123); the cell edges are 5.217, 5.217 and 4.556 Å and the angles 90.00°, 90.00° and 90.00°. The inequivalent atoms are Sn at (0.000, 0.000, 0.000), As at (0.500, 0.500, 0.000), Ir at (0.500, 0.500, 0.500) and Se at (0.000, 0.500, 0.500).

# 17
Mg8Ag: relaxed, PBE.

For the formation energy, the calculation gives -0.027 eV/atom. Its energy above the most stable polymorph in this dataset is 0.0 kJ/mol of atoms. For the total moment, the calculation gives 0.00 Bohr magnetons per cell.

The structure belongs to space group I4/mmm (No. 139); the cell edges are 9.249, 9.249 and 4.603 Å and the angles 90.00°, 90.00° and 90.00°. The inequivalent atoms are Mg at (0.000, 0.327, 0.000), Mg at (0.163, 0.163, 0.500) and Ag at (0.000, 0.000, 0.000).

# 18
TbCo4Au: relaxed, PBE.

For the formation energy, the calculation gives -0.144 eV/atom. For the total moment, the calculation gives 23.28 Bohr magnetons per cell.

The structure belongs to space group F-43m (No. 216); the cell edges are 7.032, 7.032 and 7.032 Å and the angles 90.00°, 90.00° and 90.00°. The inequivalent atoms are Tb at (0.000, 0.000, 0.000), Co at (0.124, 0.124, 0.624) and Au at (0.250, 0.250, 0.250).

# 19
PmNd2Tm4: relaxed, PBE.

For the formation energy, the calculation gives 0.264 eV/atom. For the total moment, the calculation gives 0.00 Bohr magnetons per cell.

The structure belongs to space group I-42d (No. 122); the cell edges are 9.751, 9.751 and 9.755 Å and the angles 90.00°, 90.00° and 90.00°. The inequivalent atoms are Pm at (0.000, 0.000, 0.000), Nd at (0.125, 0.250, 0.625) and Tm at (0.082, 0.168, 0.293).

# 20
NaZn2Ga8: relaxed, PBE.

For the formation energy, the calculation gives 0.134 eV/atom. For the total moment, the calculation gives 0.00 Bohr magnetons per cell.

The structure belongs to space group P4/mmm (No. 123); the cell edges are 5.433, 5.433 and 8.959 Å and the angles 90.00°, 90.00° and 90.00°. The inequivalent atoms are Na at (0.000, 0.000, 0.000), Zn at (0.000, 0.500, 0.500) and Ga at (0.252, 0.252, 0.287).